Record 1
The following is a PBE-GGA calculation of a relaxed structure of TaGaSbTe2, from the Alexandria database.

Computed properties:
Density in g/cm3: 7.497
Polymorph energy (0 for the lowest one) in kJ per mole of atoms: 86.29
DFT total energy in eV/atom: -3.91
Total magnetization in μB per atom: 0.020
Calculated volume in Å³ per cell: 139.01
Space-group type: P4/mmm
Formation energy without anion corrections in eV per atom: 1.148

Structure (CIF):
```
data_TaGaSbTe2
_space_group_name_H-M_alt 'P 1'
_space_group_IT_number 1
_cell_length_a 5.2141
_cell_length_b 5.2141
_cell_length_c 5.1130
_cell_angle_alpha 90.00
_cell_angle_beta 90.00
_cell_angle_gamma 90.00
loop_
_space_group_symop_operation_xyz
'x,y,z'
loop_
_atom_site_label
_atom_site_type_symbol
_atom_site_fract_x
_atom_site_fract_y
_atom_site_fract_z
Sb1 Sb 0.0000 0.0000 0.5000
Te1 Te 0.0000 0.5000 0.0000
Te2 Te 0.5000 0.0000 0.0000
Ga1 Ga 0.0000 0.0000 0.0000
Ta1 Ta 0.5000 0.5000 0.5000
```

***

Record 2
The following is a PBE-GGA calculation of a relaxed structure of TaGaSbTe2, from the Alexandria database.

Computed properties:
Density in g/cm3: 6.468
Polymorph energy (0 for the lowest one) in kJ per mole of atoms: 0.00
DFT total energy in eV/atom: -4.80
Total magnetization in μB per atom: 0.000
Calculated volume in Å³ per cell: 161.14
Space-group type: P4/mmm
Formation energy without anion corrections in eV per atom: 0.254

Structure (CIF):
```
data_TaGaSbTe2
_space_group_name_H-M_alt 'P 1'
_space_group_IT_number 1
_cell_length_a 5.4388
_cell_length_b 5.4388
_cell_length_c 5.4476
_cell_angle_alpha 90.00
_cell_angle_beta 90.00
_cell_angle_gamma 90.00
loop_
_space_group_symop_operation_xyz
'x,y,z'
loop_
_atom_site_label
_atom_site_type_symbol
_atom_site_fract_x
_atom_site_fract_y
_atom_site_fract_z
Sb1 Sb 0.0000 0.0000 0.5000
Te1 Te 0.0000 0.5000 0.0000
Te2 Te 0.5000 0.0000 0.0000
Ga1 Ga 0.5000 0.5000 0.5000
Ta1 Ta 0.0000 0.0000 0.0000
```

***

Record 3
The following is a PBE-GGA calculation of a relaxed structure of TaGaSb2Te, from the Alexandria database.

Computed properties:
Density in g/cm3: 6.499
Polymorph energy (0 for the lowest one) in kJ per mole of atoms: 0.00
DFT total energy in eV/atom: -4.90
Total magnetization in μB per atom: 0.000
Calculated volume in Å³ per cell: 158.88
Space-group type: P4/mmm
Formation energy without anion corrections in eV per atom: 0.349

Structure (CIF):
```
data_TaGaSb2Te
_space_group_name_H-M_alt 'P 1'
_space_group_IT_number 1
_cell_length_a 5.4177
_cell_length_b 5.4177
_cell_length_c 5.4129
_cell_angle_alpha 90.00
_cell_angle_beta 90.00
_cell_angle_gamma 90.00
loop_
_space_group_symop_operation_xyz
'x,y,z'
loop_
_atom_site_label
_atom_site_type_symbol
_atom_site_fract_x
_atom_site_fract_y
_atom_site_fract_z
Sb1 Sb 0.0000 0.5000 0.0000
Sb2 Sb 0.5000 0.0000 0.0000
Te1 Te 0.0000 0.0000 0.5000
Ga1 Ga 0.5000 0.5000 0.5000
Ta1 Ta 0.0000 0.0000 0.0000
```

***

Record 4
The following is a PBE-GGA calculation of a relaxed structure of Tb3GaSb, from the Alexandria database.

Computed properties:
Density in g/cm3: 7.371
DFT total energy in eV/atom: -4.78
Total magnetization in μB per atom: 0.225
Calculated volume in Å³ per cell: 301.08
Space-group type: P2_1/m
Formation energy without anion corrections in eV per atom: -0.572

Structure (CIF):
```
data_Tb3GaSb
_space_group_name_H-M_alt 'P 1'
_space_group_IT_number 1
_cell_length_a 4.2698
_cell_length_b 9.6159
_cell_length_c 9.3853
_cell_angle_alpha 115.29
_cell_angle_beta 117.07
_cell_angle_gamma 90.00
loop_
_space_group_symop_operation_xyz
'x,y,z'
loop_
_atom_site_label
_atom_site_type_symbol
_atom_site_fract_x
_atom_site_fract_y
_atom_site_fract_z
Tb1 Tb 0.3071 0.3804 0.5571
Tb2 Tb 0.8001 0.3485 0.0501
Tb3 Tb 0.9199 0.0066 0.1699
Tb4 Tb 0.6929 0.6196 0.4429
Tb5 Tb 0.0801 0.9934 0.8301
Tb6 Tb 0.1999 0.6515 0.9499
Ga1 Ga 0.5077 0.7440 0.7576
Ga2 Ga 0.4923 0.2560 0.2424
Sb1 Sb 0.9979 0.2780 0.7479
Sb2 Sb 0.0021 0.7220 0.2521
```

***

Record 5
The following is a PBE-GGA calculation of a relaxed structure of Tb2GaSb, from the Alexandria database.

Computed properties:
Density in g/cm3: 8.213
Polymorph energy (0 for the lowest one) in kJ per mole of atoms: 1.64
DFT total energy in eV/atom: -4.94
Total magnetization in μB per atom: 0.000
Calculated volume in Å³ per cell: 205.95
Space-group type: P2_1/m
Formation energy without anion corrections in eV per atom: -0.834

Structure (CIF):
```
data_Tb2GaSb
_space_group_name_H-M_alt 'P 1'
_space_group_IT_number 1
_cell_length_a 4.1580
_cell_length_b 6.0179
_cell_length_c 8.6764
_cell_angle_alpha 108.45
_cell_angle_beta 90.00
_cell_angle_gamma 90.00
loop_
_space_group_symop_operation_xyz
'x,y,z'
loop_
_atom_site_label
_atom_site_type_symbol
_atom_site_fract_x
_atom_site_fract_y
_atom_site_fract_z
Tb1 Tb 0.7500 0.2132 0.4358
Tb2 Tb 0.2500 0.7868 0.5642
Tb3 Tb 0.7500 0.6979 0.9268
Tb4 Tb 0.2500 0.3021 0.0732
Ga1 Ga 0.7500 0.6061 0.2970
Ga2 Ga 0.2500 0.3939 0.7030
Sb1 Sb 0.7500 0.1216 0.7932
Sb2 Sb 0.2500 0.8784 0.2068
```

***

Record 6
The following is a PBE-GGA calculation of a relaxed structure of Tb2GaSb, from the Alexandria database.

Computed properties:
Density in g/cm3: 7.480
Polymorph energy (0 for the lowest one) in kJ per mole of atoms: 14.39
DFT total energy in eV/atom: -4.80
Total magnetization in μB per atom: 0.000
Calculated volume in Å³ per cell: 113.07
Space-group type: R-3m
Formation energy without anion corrections in eV per atom: -0.702

Structure (CIF):
```
data_Tb2GaSb
_space_group_name_H-M_alt 'P 1'
_space_group_IT_number 1
_cell_length_a 4.1740
_cell_length_b 4.1740
_cell_length_c 7.8720
_cell_angle_alpha 74.63
_cell_angle_beta 74.63
_cell_angle_gamma 60.00
loop_
_space_group_symop_operation_xyz
'x,y,z'
loop_
_atom_site_label
_atom_site_type_symbol
_atom_site_fract_x
_atom_site_fract_y
_atom_site_fract_z
Sb1 Sb 0.5000 0.5000 0.5000
Tb1 Tb 0.2494 0.2494 0.2518
Tb2 Tb 0.7506 0.7506 0.7482
Ga1 Ga 0.0000 0.0000 0.0000
```

***

Record 7
The following is a PBE-GGA calculation of a relaxed structure of Tb10Ga3Sb3, from the Alexandria database.

Computed properties:
Density in g/cm3: 8.169
DFT total energy in eV/atom: -4.95
Total magnetization in μB per atom: 0.000
Calculated volume in Å³ per cell: 439.84
Space-group type: P-62m
Formation energy without anion corrections in eV per atom: -0.719

Structure (CIF):
```
data_Tb10Ga3Sb3
_space_group_name_H-M_alt 'P 1'
_space_group_IT_number 1
_cell_length_a 6.5315
_cell_length_b 8.8181
_cell_length_c 8.8181
_cell_angle_alpha 120.00
_cell_angle_beta 90.00
_cell_angle_gamma 90.00
loop_
_space_group_symop_operation_xyz
'x,y,z'
loop_
_atom_site_label
_atom_site_type_symbol
_atom_site_fract_x
_atom_site_fract_y
_atom_site_fract_z
Tb1 Tb 0.2586 0.6667 0.3333
Tb2 Tb 0.2586 0.3333 0.6667
Tb3 Tb 0.7414 0.3333 0.6667
Tb4 Tb 0.7414 0.6667 0.3333
Tb5 Tb 0.5000 0.0000 0.7611
Tb6 Tb 0.5000 0.7611 0.0000
Tb7 Tb 0.5000 0.2389 0.2389
Tb8 Tb 0.0000 0.0000 0.2385
Tb9 Tb 0.0000 0.2385 0.0000
Tb10 Tb 0.0000 0.7615 0.7615
Ga1 Ga 0.5000 0.0000 0.3945
Ga2 Ga 0.5000 0.3945 0.0000
Ga3 Ga 0.5000 0.6055 0.6055
Sb1 Sb 0.0000 0.0000 0.6033
Sb2 Sb 0.0000 0.6033 0.0000
Sb3 Sb 0.0000 0.3967 0.3967
```

***

Record 8
The following is a PBE-GGA calculation of a relaxed structure of TbGaSb, from the Alexandria database.

Computed properties:
Density in g/cm3: 7.974
Polymorph energy (0 for the lowest one) in kJ per mole of atoms: 0.98
DFT total energy in eV/atom: -4.39
Total magnetization in μB per atom: 0.001
Calculated volume in Å³ per cell: 72.97
Space-group type: I4mm
Formation energy without anion corrections in eV per atom: -0.460

Structure (CIF):
```
data_TbGaSb
_space_group_name_H-M_alt 'P 1'
_space_group_IT_number 1
_cell_length_a 3.7627
_cell_length_b 3.7627
_cell_length_c 5.8006
_cell_angle_alpha 108.93
_cell_angle_beta 108.93
_cell_angle_gamma 90.00
loop_
_space_group_symop_operation_xyz
'x,y,z'
loop_
_atom_site_label
_atom_site_type_symbol
_atom_site_fract_x
_atom_site_fract_y
_atom_site_fract_z
Sb1 Sb 0.3034 0.3034 0.6068
Tb1 Tb 0.6158 0.6158 0.2316
Ga1 Ga 0.9308 0.9308 0.8616
```

***

Record 9
The following is a PBE-GGA calculation of a relaxed structure of Tb5GaSb2, from the Alexandria database.

Computed properties:
Density in g/cm3: 7.073
DFT total energy in eV/atom: -4.70
Total magnetization in μB per atom: 0.000
Calculated volume in Å³ per cell: 520.17
Space-group type: Cmcm
Formation energy without anion corrections in eV per atom: -0.398

Structure (CIF):
```
data_Tb5GaSb2
_space_group_name_H-M_alt 'P 1'
_space_group_IT_number 1
_cell_length_a 5.9635
_cell_length_b 6.8011
_cell_length_c 14.2698
_cell_angle_alpha 90.00
_cell_angle_beta 90.00
_cell_angle_gamma 116.00
loop_
_space_group_symop_operation_xyz
'x,y,z'
loop_
_atom_site_label
_atom_site_type_symbol
_atom_site_fract_x
_atom_site_fract_y
_atom_site_fract_z
Tb1 Tb 0.9336 0.8672 0.8855
Tb2 Tb 0.9336 0.8672 0.6145
Tb3 Tb 0.3719 0.7439 0.4292
Tb4 Tb 0.3719 0.7439 0.0708
Tb5 Tb 0.6746 0.3493 0.2500
Tb6 Tb 0.3254 0.6507 0.7500
Tb7 Tb 0.6281 0.2561 0.5708
Tb8 Tb 0.6281 0.2561 0.9292
Tb9 Tb 0.0664 0.1328 0.1145
Tb10 Tb 0.0664 0.1328 0.3855
Ga1 Ga 0.7565 0.5130 0.7500
Ga2 Ga 0.2435 0.4870 0.2500
Sb1 Sb 0.8180 0.6360 0.4226
Sb2 Sb 0.8180 0.6360 0.0774
Sb3 Sb 0.1820 0.3640 0.5774
Sb4 Sb 0.1820 0.3640 0.9226
```

***

Record 10
The following is a PBE-GGA calculation of a relaxed structure of Tb2GaSb, from the Alexandria database.

Computed properties:
Density in g/cm3: 7.680
Polymorph energy (0 for the lowest one) in kJ per mole of atoms: 0.00
DFT total energy in eV/atom: -4.95
Total magnetization in μB per atom: 0.000
Calculated volume in Å³ per cell: 220.26
Space-group type: Cmcm
Formation energy without anion corrections in eV per atom: -0.851

Structure (CIF):
```
data_Tb2GaSb
_space_group_name_H-M_alt 'P 1'
_space_group_IT_number 1
_cell_length_a 4.2524
_cell_length_b 4.4153
_cell_length_c 11.9369
_cell_angle_alpha 100.66
_cell_angle_beta 90.00
_cell_angle_gamma 90.00
loop_
_space_group_symop_operation_xyz
'x,y,z'
loop_
_atom_site_label
_atom_site_type_symbol
_atom_site_fract_x
_atom_site_fract_y
_atom_site_fract_z
Tb1 Tb 0.7500 0.6782 0.3563
Tb2 Tb 0.2500 0.3218 0.6437
Tb3 Tb 0.7500 0.9396 0.8791
Tb4 Tb 0.2500 0.0604 0.1209
Ga1 Ga 0.2500 0.4638 0.9277
Ga2 Ga 0.7500 0.5362 0.0723
Sb1 Sb 0.2500 0.1893 0.3785
Sb2 Sb 0.7500 0.8107 0.6215
```

***

Record 11
The following is a PBE-GGA calculation of a relaxed structure of TbGa2Sb, from the Alexandria database.

Computed properties:
Density in g/cm3: 7.772
DFT total energy in eV/atom: -4.22
Total magnetization in μB per atom: 0.000
Calculated volume in Å³ per cell: 89.76
Space-group type: P4/mmm
Formation energy without anion corrections in eV per atom: -0.517

Structure (CIF):
```
data_TbGa2Sb
_space_group_name_H-M_alt 'P 1'
_space_group_IT_number 1
_cell_length_a 4.3525
_cell_length_b 4.5412
_cell_length_c 4.5412
_cell_angle_alpha 90.00
_cell_angle_beta 90.00
_cell_angle_gamma 90.00
loop_
_space_group_symop_operation_xyz
'x,y,z'
loop_
_atom_site_label
_atom_site_type_symbol
_atom_site_fract_x
_atom_site_fract_y
_atom_site_fract_z
Sb1 Sb 0.5000 0.5000 0.5000
Tb1 Tb 0.5000 0.0000 0.0000
Ga1 Ga 0.0000 0.0000 0.5000
Ga2 Ga 0.0000 0.5000 0.0000
```

***

Record 12
The following is a PBE-GGA calculation of a relaxed structure of Tb5Ga2Sb, from the Alexandria database.

Computed properties:
Density in g/cm3: 8.203
DFT total energy in eV/atom: -4.81
Total magnetization in μB per atom: 0.000
Calculated volume in Å³ per cell: 427.46
Space-group type: I4/mcm
Formation energy without anion corrections in eV per atom: -0.645

Structure (CIF):
```
data_Tb5Ga2Sb
_space_group_name_H-M_alt 'P 1'
_space_group_IT_number 1
_cell_length_a 8.1834
_cell_length_b 8.1834
_cell_length_c 8.6156
_cell_angle_alpha 118.35
_cell_angle_beta 118.35
_cell_angle_gamma 90.00
loop_
_space_group_symop_operation_xyz
'x,y,z'
loop_
_atom_site_label
_atom_site_type_symbol
_atom_site_fract_x
_atom_site_fract_y
_atom_site_fract_z
Tb1 Tb 0.5117 0.7017 0.7134
Tb2 Tb 0.7983 0.9883 0.2866
Tb3 Tb 0.0000 0.0000 0.0000
Tb4 Tb 0.5000 0.5000 0.0000
Tb5 Tb 0.2017 0.0117 0.7134
Tb6 Tb 0.7017 0.2017 0.7134
Tb7 Tb 0.0117 0.5117 0.7134
Tb8 Tb 0.2983 0.7983 0.2866
Tb9 Tb 0.9883 0.4883 0.2866
Tb10 Tb 0.4883 0.2983 0.2866
Ga1 Ga 0.1459 0.3541 0.0000
Ga2 Ga 0.6459 0.1459 0.0000
Ga3 Ga 0.3541 0.8541 0.0000
Ga4 Ga 0.8541 0.6459 0.0000
Sb1 Sb 0.7500 0.7500 0.5000
Sb2 Sb 0.2500 0.2500 0.5000
```

***

Question: Which value of calculated volume does entry 3 give?
Answer: 158.88 Å³ per cell